No. 1
Entry from Alexandria: K3Ho2MnTe6 after structural relaxation (GGA-PBE).

Values from the calculation:
E_form (uncorrected) ... -12.6 eV per formula unit
M_tot ... 4.0 μB/f.u.

a b c (Å): 7.613 7.613 8.606
angles (deg): 98.52 98.52 120.05
Site moments in Bohr magnetons follow the coordinates.
Positions (direct):
K 0.171 0.829 0.500  0.00
K 0.829 0.171 0.500  0.00
K 0.500 0.500 0.500  0.00
Ho 0.334 0.666 0.000  0.03
Ho 0.666 0.334 0.000  0.03
Mn 0.000 0.000 0.000  3.91
Te 0.934 0.619 0.801  -0.03
Te 0.753 0.753 0.201  -0.03
Te 0.066 0.381 0.199  -0.03
Te 0.619 0.934 0.801  -0.03
Te 0.247 0.247 0.799  -0.03
Te 0.381 0.066 0.199  -0.03


No. 2
Entry from Alexandria: KGd2Co after structural relaxation (GGA-PBE).

Values from the calculation:
Calculated formation energy ... 4 kJ per mole of atoms
M_tot ... 14.5 μB/f.u.

a b c (Å): 3.950 3.950 11.182
angles (deg): 79.83 79.83 60.00
Site moments in Bohr magnetons follow the coordinates.
Positions (direct):
K 0.000 0.000 0.000  0.01
Gd 0.124 0.124 0.629  7.06
Gd 0.876 0.876 0.371  7.06
Co 0.500 0.500 0.500  -0.09


No. 3
Entry from Alexandria: CoRe2Pb after structural relaxation (GGA-PBE).

Values from the calculation:
Calculated formation energy ... 82 kJ per mole of atoms
M_tot ... 0.0 μB/f.u.

a b c (Å): 5.068 5.068 5.068
angles (deg): 135.49 135.49 64.78
Positions (direct):
Co 0.250 0.750 0.500
Pb 0.750 0.250 0.500
Re 0.000 0.000 0.000
Re 0.500 0.500 0.000


No. 4
Entry from Alexandria: LiSbRh2 after structural relaxation (GGA-PBE).

Values from the calculation:
E_form (uncorrected) ... -0.8 eV per formula unit
M_tot ... 0.0 μB/f.u.

a b c (Å): 5.134 5.134 2.939
angles (deg): 75.15 75.15 112.44
Positions (direct):
Li 0.000 0.500 0.500
Rh 0.000 0.000 0.000
Rh 0.500 0.500 0.000
Sb 0.500 0.000 0.500


No. 5
Entry from Alexandria: LiGeAsC2 after structural relaxation (GGA-PBE).

Values from the calculation:
Calculated formation energy ... 204 kJ per mole of atoms
M_tot ... 0.0 μB/f.u.

a b c (Å): 3.816 4.772 3.816
angles (deg): 90.00 90.00 90.00
Positions (direct):
C 0.000 0.000 0.500
C 0.500 0.000 0.000
As 0.000 0.500 0.000
Ge 0.500 0.500 0.500
Li 0.000 0.000 0.000


No. 6
Entry from Alexandria: Sc3In6Br14 after structural relaxation (GGA-PBE).

Values from the calculation:
E_form (uncorrected) ... -25.3 eV per formula unit
M_tot ... 1.2 μB/f.u.

a b c (Å): 6.916 11.917 11.917
angles (deg): 120.00 90.00 90.00
Site moments in Bohr magnetons follow the coordinates.
Positions (direct):
Sc 0.834 0.000 0.000  0.21
Sc 0.339 0.333 0.667  0.23
Sc 0.475 0.667 0.333  0.39
In 0.264 0.787 0.101  0.01
In 0.264 0.899 0.687  0.01
In 0.264 0.313 0.213  0.01
In 0.752 0.542 0.559  0.01
In 0.752 0.441 0.983  0.01
In 0.752 0.017 0.458  0.01
Br 0.967 0.076 0.225  0.00
Br 0.967 0.775 0.851  0.00
Br 0.967 0.149 0.924  0.00
Br 0.477 0.248 0.441  0.00
Br 0.477 0.559 0.807  0.00
Br 0.477 0.193 0.752  0.00
Br 0.469 0.000 0.000  0.00
Br 0.974 0.333 0.667  0.00
Br 0.698 0.746 0.195  0.00
Br 0.698 0.805 0.551  0.00
Br 0.698 0.449 0.254  0.00
Br 0.260 0.591 0.475  0.00
Br 0.260 0.525 0.115  0.00
Br 0.260 0.885 0.409  0.00


No. 7
Entry from Alexandria: Dy3Bi2Pb after structural relaxation (GGA-PBE).

Values from the calculation:
Calculated formation energy ... -66 kJ per mole of atoms
Polymorph energy (0 for the lowest one) ... 0.002 eV per atom
M_tot ... 0.0 μB/f.u.

a b c (Å): 7.603 7.786 7.786
angles (deg): 119.52 99.75 99.75
Positions (direct):
Dy 0.003 0.166 0.333
Dy 0.503 0.333 0.166
Dy 0.000 0.500 0.000
Dy 0.997 0.834 0.667
Dy 0.500 0.000 0.500
Dy 0.497 0.667 0.834
Bi 0.250 0.917 0.083
Bi 0.250 0.249 0.751
Bi 0.750 0.083 0.917
Bi 0.750 0.751 0.249
Pb 0.250 0.584 0.416
Pb 0.750 0.416 0.584


No. 8
Entry from Alexandria: PrNdY2Ho5 after structural relaxation (GGA-PBE).

Values from the calculation:
Calculated formation energy ... 28 kJ per mole of atoms
M_tot ... 0.0 μB/f.u.

a b c (Å): 8.871 8.871 9.780
angles (deg): 116.97 116.97 90.00
Positions (direct):
Pr 0.250 0.250 0.500
Pr 0.750 0.750 0.500
Nd 0.250 0.750 0.500
Nd 0.750 0.250 0.500
Y 0.115 0.385 0.000
Y 0.615 0.115 0.000
Y 0.385 0.885 0.000
Y 0.885 0.615 0.000
Ho 0.930 0.430 0.268
Ho 0.661 0.161 0.732
Ho 0.070 0.570 0.732
Ho 0.161 0.070 0.732
Ho 0.570 0.661 0.732
Ho 0.839 0.930 0.268
Ho 0.430 0.339 0.268
Ho 0.339 0.839 0.268
Ho 0.500 0.500 0.000
Ho 0.000 0.000 0.000